(1)
DFT (PBE-GGA) results for a relaxed structure of LiTlGa2Ni.

a b c (Å): 4.5695 4.5695 4.9325
angles (deg): 90.00 90.00 90.00
Last column: nearest neighbours and their distance in Å.
Atoms (fractional coordinates):
Li 0.0000 0.0000 0.5000  2 Ni 2.47
Tl 0.5000 0.5000 0.5000  4 Li 3.23, 8 Ga 3.36
Ga 0.5000 0.0000 0.0000  2 Ni 2.28
Ga 0.0000 0.5000 0.0000  2 Ni 2.28
Ni 0.0000 0.0000 0.0000  4 Ga 2.28, 2 Li 2.47

Output
Spin magnetization (μB per cell): 0.00
Fermi-level density of states (states/eV per cell): 2.1
Space group: P4/mmm (123)
E_form (eV/f.u.): -0.55

***

(2)
DFT (PBE-GGA) results for a relaxed structure of LiTm2Ga3Ni4.

a b c (Å): 3.7661 3.7661 11.1749
angles (deg): 90.00 90.00 90.00
Last column: nearest neighbours and their distance in Å.
Atoms (fractional coordinates):
Li 0.5000 0.5000 0.5000  4 Ni 2.54, 4 Ga 2.66
Ni 0.5000 0.0000 0.6520  3 Ga 2.42-2.54, 2 Li 2.54
Ni 0.0000 0.0000 0.0000  4 Ga 2.39, 4 Ni 2.66
Ni 0.5000 0.5000 0.0000  4 Ga 2.39, 4 Ni 2.66
Ni 0.0000 0.5000 0.3480  3 Ga 2.42-2.54, 2 Li 2.54
Tm 0.0000 0.5000 0.7424  4 Ni 2.85, 4 Ga 3.01
Tm 0.5000 0.0000 0.2576  4 Ni 2.85, 4 Ga 3.01
Ga 0.0000 0.0000 0.5000  4 Ni 2.54, 4 Li 2.66
Ga 0.0000 0.5000 0.1318  5 Ni 2.39-2.42
Ga 0.5000 0.0000 0.8682  5 Ni 2.39-2.42

Output
Spin magnetization (μB per cell): 0.00
Fermi-level density of states (states/eV per cell): 4.2
Space group: P-4m2 (115)
E_form (eV/f.u.): -4.87